[1]
Ca4BiSbSe after structural relaxation. Source: Alexandria, functional PBE.

Results
The value obtained for the total energy is -3.88 eV per atom. As for the uncorrected formation energy: -7.7 eV/f.u.

Cell and atoms, written as CIF:
```
data_Ca4BiSbSe
_symmetry_space_group_name_H-M 'P 1'
_symmetry_Int_Tables_number 1
_symmetry_space_group_name_Hall 'P 1'
_cell_length_a 7.540
_cell_length_b 7.548
_cell_length_c 9.125
_cell_angle_alpha 90.00
_cell_angle_beta 114.40
_cell_angle_gamma 90.00
loop_
_atom_site_label
_atom_site_type_symbol
_atom_site_fract_x
_atom_site_fract_y
_atom_site_fract_z
Se1 Se 0.753 0.250 0.505
Se2 Se 0.247 0.750 0.495
Ca1 Ca 0.500 0.500 0.500
Ca2 Ca 0.931 0.250 0.863
Ca3 Ca 0.500 0.000 0.500
Ca4 Ca 0.000 0.500 0.500
Ca5 Ca 0.000 0.000 0.500
Ca6 Ca 0.069 0.750 0.137
Ca7 Ca 0.426 0.750 0.852
Ca8 Ca 0.574 0.250 0.148
Bi1 Bi 0.615 0.750 0.230
Bi2 Bi 0.385 0.250 0.770
Sb1 Sb 0.118 0.250 0.236
Sb2 Sb 0.882 0.750 0.764
```

---

[2]
SrMg2ZnIn after structural relaxation. Source: Alexandria, functional PBE.

Results
The value obtained for the total energy is -1.52 eV per atom. Its formation energy is 24.3 kJ per mole of atoms. The density of states at the Fermi level is 4.53 states/eV/f.u.

Cell and atoms, written as CIF:
```
data_SrMg2ZnIn
_symmetry_space_group_name_H-M 'P 1'
_symmetry_Int_Tables_number 1
_symmetry_space_group_name_Hall 'P 1'
_cell_length_a 5.339
_cell_length_b 6.420
_cell_length_c 5.339
_cell_angle_alpha 90.00
_cell_angle_beta 90.00
_cell_angle_gamma 90.00
loop_
_atom_site_label
_atom_site_type_symbol
_atom_site_fract_x
_atom_site_fract_y
_atom_site_fract_z
Zn1 Zn 0.500 0.500 0.500
Sr1 Sr 0.000 0.500 0.000
Mg1 Mg 0.500 0.000 0.000
Mg2 Mg 0.000 0.000 0.500
In1 In 0.000 0.000 0.000
```

---

[3]
Al7Ni after structural relaxation. Source: Alexandria, functional PBE.

Results
The value obtained for the total energy is -4.11 eV per atom. Its formation energy is -10.4 kJ per mole of atoms. The density of states at the Fermi level is 4.96 states/eV/f.u.

Cell and atoms, written as CIF:
```
data_Al7Ni
_symmetry_space_group_name_H-M 'P 1'
_symmetry_Int_Tables_number 1
_symmetry_space_group_name_Hall 'P 1'
_cell_length_a 5.571
_cell_length_b 5.571
_cell_length_c 5.571
_cell_angle_alpha 60.00
_cell_angle_beta 60.00
_cell_angle_gamma 60.00
loop_
_atom_site_label
_atom_site_type_symbol
_atom_site_fract_x
_atom_site_fract_y
_atom_site_fract_z
Al1 Al 0.000 0.000 0.500
Al2 Al 0.500 0.000 0.500
Al3 Al 0.500 0.500 0.500
Al4 Al 0.000 0.500 0.000
Al5 Al 0.000 0.500 0.500
Al6 Al 0.500 0.000 0.000
Al7 Al 0.500 0.500 0.000
Ni1 Ni 0.000 0.000 0.000
```

---

[4]
TaCrCo2 after structural relaxation. Source: Alexandria, functional PBE.

Results
The value obtained for the total energy is -8.64 eV per atom. Its formation energy is 27.4 kJ per mole of atoms. The density of states at the Fermi level is 5.13 states/eV/f.u.

Cell and atoms, written as CIF:
```
data_TaCrCo2
_symmetry_space_group_name_H-M 'P 1'
_symmetry_Int_Tables_number 1
_symmetry_space_group_name_Hall 'P 1'
_cell_length_a 8.549
_cell_length_b 8.549
_cell_length_c 8.549
_cell_angle_alpha 17.88
_cell_angle_beta 17.88
_cell_angle_gamma 17.88
loop_
_atom_site_label
_atom_site_type_symbol
_atom_site_fract_x
_atom_site_fract_y
_atom_site_fract_z
Ta1 Ta 0.750 0.750 0.750
Co1 Co 0.993 0.993 0.993
Co2 Co 0.507 0.507 0.507
Cr1 Cr 0.250 0.250 0.250
```

---

[5]
RbSbP after structural relaxation. Source: Alexandria, functional PBE.

Results
The value obtained for the total energy is -3.74 eV per atom. As for the uncorrected formation energy: -0.7 eV/f.u.

Cell and atoms, written as CIF:
```
data_RbSbP
_symmetry_space_group_name_H-M 'P 1'
_symmetry_Int_Tables_number 1
_symmetry_space_group_name_Hall 'P 1'
_cell_length_a 7.202
_cell_length_b 3.863
_cell_length_c 9.285
_cell_angle_alpha 90.00
_cell_angle_beta 103.73
_cell_angle_gamma 90.00
loop_
_atom_site_label
_atom_site_type_symbol
_atom_site_fract_x
_atom_site_fract_y
_atom_site_fract_z
Sb1 Sb 0.279 0.000 0.769
Sb2 Sb 0.721 0.000 0.231
P1 P 0.491 0.500 0.119
P2 P 0.509 0.500 0.881
Rb1 Rb 0.000 0.500 0.000
Rb2 Rb 0.500 0.500 0.500
```

---

[6]
Ca3Sb3Pd2 after structural relaxation. Source: Alexandria, functional PBE.

Results
The value obtained for the total energy is -4.51 eV per atom. As for the uncorrected formation energy: -7.3 eV/f.u. The density of states at the Fermi level is 1.85 states/eV/f.u.

Cell and atoms, written as CIF:
```
data_Ca3Sb3Pd2
_symmetry_space_group_name_H-M 'P 1'
_symmetry_Int_Tables_number 1
_symmetry_space_group_name_Hall 'P 1'
_cell_length_a 4.636
_cell_length_b 6.035
_cell_length_c 15.423
_cell_angle_alpha 90.00
_cell_angle_beta 90.00
_cell_angle_gamma 112.59
loop_
_atom_site_label
_atom_site_type_symbol
_atom_site_fract_x
_atom_site_fract_y
_atom_site_fract_z
Sb1 Sb 0.658 0.316 0.750
Sb2 Sb 0.377 0.755 0.537
Sb3 Sb 0.342 0.684 0.250
Sb4 Sb 0.623 0.245 0.463
Sb5 Sb 0.623 0.245 0.037
Sb6 Sb 0.377 0.755 0.963
Ca1 Ca 0.086 0.172 0.610
Ca2 Ca 0.086 0.172 0.890
Ca3 Ca 0.914 0.828 0.390
Ca4 Ca 0.362 0.724 0.750
Ca5 Ca 0.638 0.276 0.250
Ca6 Ca 0.914 0.828 0.110
Pd1 Pd 0.205 0.410 0.101
Pd2 Pd 0.795 0.590 0.601
Pd3 Pd 0.205 0.410 0.399
Pd4 Pd 0.795 0.590 0.899
```

---

[7]
Ac6In2Os after structural relaxation. Source: Alexandria, functional PBE.

Results
The value obtained for the total energy is -4.79 eV per atom. Its formation energy is -18.9 kJ per mole of atoms. The density of states at the Fermi level is 8.21 states/eV/f.u.

Cell and atoms, written as CIF:
```
data_Ac6In2Os
_symmetry_space_group_name_H-M 'P 1'
_symmetry_Int_Tables_number 1
_symmetry_space_group_name_Hall 'P 1'
_cell_length_a 7.773
_cell_length_b 8.068
_cell_length_c 11.336
_cell_angle_alpha 90.00
_cell_angle_beta 90.91
_cell_angle_gamma 90.00
loop_
_atom_site_label
_atom_site_type_symbol
_atom_site_fract_x
_atom_site_fract_y
_atom_site_fract_z
Ac1 Ac 0.194 0.306 0.041
Ac2 Ac 0.694 0.194 0.541
Ac3 Ac 0.910 0.989 0.251
Ac4 Ac 0.308 0.806 0.040
Ac5 Ac 0.306 0.806 0.459
Ac6 Ac 0.192 0.306 0.460
Ac7 Ac 0.808 0.694 0.540
Ac8 Ac 0.806 0.694 0.959
Ac9 Ac 0.692 0.194 0.960
Ac10 Ac 0.410 0.511 0.751
Ac11 Ac 0.090 0.011 0.749
Ac12 Ac 0.590 0.489 0.249
In1 In 0.528 0.928 0.747
In2 In 0.972 0.428 0.753
In3 In 0.028 0.572 0.247
In4 In 0.472 0.072 0.253
Os1 Os 0.500 0.500 0.000
Os2 Os 0.000 0.000 0.500
```

---

[8]
Ga4Ni3Ru after structural relaxation. Source: Alexandria, functional PBE.

Results
The value obtained for the total energy is -5.20 eV per atom. Its formation energy is -34.5 kJ per mole of atoms. The density of states at the Fermi level is 3.60 states/eV/f.u.

Cell and atoms, written as CIF:
```
data_Ga4Ni3Ru
_symmetry_space_group_name_H-M 'P 1'
_symmetry_Int_Tables_number 1
_symmetry_space_group_name_Hall 'P 1'
_cell_length_a 3.020
_cell_length_b 3.020
_cell_length_c 11.269
_cell_angle_alpha 90.00
_cell_angle_beta 90.00
_cell_angle_gamma 90.00
loop_
_atom_site_label
_atom_site_type_symbol
_atom_site_fract_x
_atom_site_fract_y
_atom_site_fract_z
Ru1 Ru 0.500 0.500 0.000
Ni1 Ni 0.500 0.500 0.500
Ni2 Ni 0.500 0.500 0.742
Ni3 Ni 0.500 0.500 0.258
Ga1 Ga 0.000 0.000 0.130
Ga2 Ga 0.000 0.000 0.378
Ga3 Ga 0.000 0.000 0.870
Ga4 Ga 0.000 0.000 0.622
```

---

[9]
MnFe after structural relaxation. Source: Alexandria, functional PBE.

Results
The value obtained for the total energy is -8.14 eV per atom. Its formation energy is 65.3 kJ per mole of atoms. The density of states at the Fermi level is 2.94 states/eV/f.u.

Cell and atoms, written as CIF:
```
data_MnFe
_symmetry_space_group_name_H-M 'P 1'
_symmetry_Int_Tables_number 1
_symmetry_space_group_name_Hall 'P 1'
_cell_length_a 3.592
_cell_length_b 3.592
_cell_length_c 4.719
_cell_angle_alpha 90.00
_cell_angle_beta 90.00
_cell_angle_gamma 120.00
loop_
_atom_site_label
_atom_site_type_symbol
_atom_site_fract_x
_atom_site_fract_y
_atom_site_fract_z
Fe1 Fe 0.000 0.000 0.500
Fe2 Fe 0.000 0.000 0.000
Mn1 Mn 0.667 0.333 0.750
Mn2 Mn 0.333 0.667 0.250
```

---

[10]
SrY2B after structural relaxation. Source: Alexandria, functional PBE.

Results
The value obtained for the total energy is -4.99 eV per atom. Its formation energy is 31.9 kJ per mole of atoms. The density of states at the Fermi level is 1.13 states/eV/f.u.

Cell and atoms, written as CIF:
```
data_SrY2B
_symmetry_space_group_name_H-M 'P 1'
_symmetry_Int_Tables_number 1
_symmetry_space_group_name_Hall 'P 1'
_cell_length_a 8.449
_cell_length_b 8.449
_cell_length_c 6.826
_cell_angle_alpha 51.77
_cell_angle_beta 51.77
_cell_angle_gamma 90.00
loop_
_atom_site_label
_atom_site_type_symbol
_atom_site_fract_x
_atom_site_fract_y
_atom_site_fract_z
Sr1 Sr 0.000 0.000 0.000
Sr2 Sr 0.750 0.250 0.500
Y1 Y 0.517 0.625 0.250
Y2 Y 0.233 0.125 0.250
Y3 Y 0.375 0.767 0.750
Y4 Y 0.875 0.483 0.750
B1 B 0.500 0.500 0.000
B2 B 0.250 0.750 0.500
```